First-principles (PBE) data for a relaxed structure of LaTl, as listed in Alexandria via LeMat-Bulk.

Computed properties:
N(E_F) = 2.76 states/eV/f.u.
total magnetization = 0.0 μB/f.u.
ΔE_f = -0.2747 eV per atom

Cell: 8.347 7.618 6.654 Å, 71.22 59.78 49.00°
Sites, in units of the cell vectors:
La 0.085 0.665 0.085
La 0.335 0.915 0.335
La 0.665 0.085 0.665
La 0.915 0.335 0.915
Tl 0.188 0.562 0.562
Tl 0.438 0.812 0.812
Tl 0.562 0.188 0.188
Tl 0.812 0.438 0.438